A plane-wave DFT calculation with PBE-GGA was carried out for a relaxed Cs3Tl3CdI8 crystal.

a b c (Å): 10.1858 10.1858 10.1858
angles (deg): 63.06 63.06 63.06
Closest atoms and distances in Å follow each position.
Atoms (fractional coordinates):
Cs1 0.0000 0.5000 0.5000  6 I 3.81-3.87
Cs2 0.5000 0.0000 0.5000  6 I 3.81-3.87
Cs3 0.5000 0.5000 0.0000  6 I 3.81-3.87
Tl1 0.0000 0.0000 0.5000  6 I 3.57-3.60
Tl2 0.0000 0.5000 0.0000  6 I 3.57-3.60
Tl3 0.5000 0.0000 0.0000  6 I 3.57-3.60
Cd1 0.0000 0.0000 0.0000  6 I 3.08
I1 0.1942 0.7903 0.7903  1 Cd 3.08
I2 0.2097 0.2097 0.8058  1 Cd 3.08
I3 0.2097 0.8058 0.2097  1 Cd 3.08
I4 0.2413 0.2413 0.2413  3 Tl 3.57, 3 Cs 3.81
I5 0.7587 0.7587 0.7587  3 Tl 3.57, 3 Cs 3.81
I6 0.7903 0.1942 0.7903  1 Cd 3.08
I7 0.7903 0.7903 0.1942  1 Cd 3.08
I8 0.8058 0.2097 0.2097  1 Cd 3.08

Properties
**DOS(E_F)**: 0.00 states/eV/f.u.
**Space group**: R-3m
**E**: -2.52 eV per atom
**ΔE_f (raw)**: -0.98 eV per atom
**Mass density**: 4.5 Mg/m³


A plane-wave DFT calculation with PBE-GGA was carried out for a relaxed TlHgS3 crystal.

a b c (Å): 5.1043 5.1043 5.1043
angles (deg): 90.00 90.00 90.00
Closest atoms and distances in Å follow each position.
Atoms (fractional coordinates):
Tl1 0.0000 0.0000 0.0000  12 S 3.61
Hg1 0.5000 0.5000 0.5000  6 S 2.55
S1 0.0000 0.5000 0.5000  2 Hg 2.55
S2 0.5000 0.0000 0.5000  2 Hg 2.55
S3 0.5000 0.5000 0.0000  2 Hg 2.55

Properties
**DOS(E_F)**: 6.01 states/eV/f.u.
**Space group**: Pm-3m
**E**: -2.50 eV per atom
**ΔE_f (raw)**: 0.51 eV per atom
**Mass density**: 6.3 Mg/m³
**Energy relative to the lowest polymorph listed for this composition**: 0.345 eV/atom


A plane-wave DFT calculation with PBE-GGA was carried out for a relaxed Pr5SmHo2 crystal.

a b c (Å): 9.5921 9.5921 6.7650
angles (deg): 108.33 108.33 79.23
Closest atoms and distances in Å follow each position.
Atoms (fractional coordinates):
Pr1 0.1145 0.6331 0.1171  5 Pr 3.35-3.74, 1 Sm 3.54, 2 Ho 3.73-3.74
Pr2 0.2368 0.7632 0.7500  1 Sm 3.30, 4 Ho 3.35-3.38, 2 Pr 3.67
Pr3 0.2489 0.2712 0.7869  4 Pr 3.39-3.74, 3 Ho 3.48-3.53, 2 Sm 3.65-3.66
Pr4 0.2712 0.2489 0.2869  4 Pr 3.39-3.74, 3 Ho 3.48-3.53, 2 Sm 3.65-3.66
Pr5 0.3669 0.8855 0.3829  5 Pr 3.35-3.74, 1 Sm 3.54, 2 Ho 3.73-3.74
Pr6 0.6331 0.1145 0.6171  5 Pr 3.35-3.74, 1 Sm 3.54, 2 Ho 3.73-3.74
Pr7 0.7288 0.7511 0.7131  4 Pr 3.39-3.74, 3 Ho 3.48-3.53, 2 Sm 3.65-3.66
Pr8 0.7511 0.7288 0.2131  4 Pr 3.39-3.74, 3 Ho 3.48-3.53, 2 Sm 3.65-3.66
Pr9 0.7632 0.2368 0.2500  1 Sm 3.30, 4 Ho 3.35-3.38, 2 Pr 3.67
Pr10 0.8855 0.3669 0.8829  5 Pr 3.35-3.74, 1 Sm 3.54, 2 Ho 3.73-3.74
Sm1 0.4938 0.5062 0.2500  7 Pr 3.30-3.66, 2 Sm 3.39
Sm2 0.5062 0.4938 0.7500  7 Pr 3.30-3.66, 2 Sm 3.39
Ho1 0.0000 0.0000 0.0000  6 Pr 3.35-3.74, 2 Ho 3.38
Ho2 0.0000 0.0000 0.5000  6 Pr 3.35-3.74, 2 Ho 3.38
Ho3 0.0000 0.5000 0.5000  8 Pr 3.38-3.73
Ho4 0.5000 0.0000 0.0000  8 Pr 3.38-3.73

Properties
**DOS(E_F)**: 12.45 states/eV/f.u.
**Space group**: C2/c
**E**: -4.52 eV per atom
**Mass density**: 7.0 Mg/m³
**Energy relative to the lowest polymorph listed for this composition**: 0.185 eV/atom


A plane-wave DFT calculation with PBE-GGA was carried out for a relaxed Nd4Cu3Ru crystal.

a b c (Å): 3.9193 4.5172 10.6652
angles (deg): 90.00 90.00 90.00
Closest atoms and distances in Å follow each position.
Atoms (fractional coordinates):
Nd1 0.0000 0.0000 0.0000  2 Ru 2.97, 5 Cu 3.06-3.27
Nd2 0.0000 0.5000 0.2697  3 Cu 2.97-3.13, 4 Ru 3.06
Nd3 0.5000 0.0000 0.4784  1 Ru 2.86, 6 Cu 3.02-3.13
Nd4 0.5000 0.5000 0.7703  7 Cu 2.95-3.10
Cu1 0.0000 0.0000 0.6932  2 Cu 2.65
Cu2 0.0000 0.5000 0.5635  2 Cu 2.65, 2 Nd 2.95
Cu3 0.5000 0.5000 0.0605  2 Ru 2.76, 7 Nd 2.97-3.09
Ru1 0.5000 0.0000 0.2098  2 Cu 2.76, 7 Nd 2.86-3.06

Properties
**DOS(E_F)**: 7.01 states/eV/f.u.
**Space group**: Pmm2
**E**: -5.27 eV per atom
**Mass density**: 7.6 Mg/m³